Run a
A geometry-optimized PrDy2Tm structure, computed with PBE-GGA.

The structure in POSCAR format:
```
PrDy2Tm
1.0
-2.074 2.736 -1.245
-4.411 -2.847 -4.260
-6.360 -1.672 1.569
Pr Dy Tm
1 2 1
Direct
0.250 0.171 0.329 Pr
0.003 0.078 0.915 Dy
0.497 0.585 0.422 Dy
0.750 0.666 0.834 Tm
```

***

Run b
A geometry-optimized PrDy2Tm structure, computed with PBE-GGA.

The structure in POSCAR format:
```
PrDy2Tm
1.0
-0.715 3.077 -1.661
-2.289 0.870 2.596
7.503 4.501 5.108
Pr Tm Dy
1 1 2
Direct
0.500 0.500 0.500 Pr
0.500 0.500 0.000 Tm
0.000 0.000 0.757 Dy
0.000 0.000 0.243 Dy
```

***

run a is the most stable structure; the next one sits 11 meV per atom above it.

***

Run a
A geometry-optimized PrDy2Tm structure, computed with PBE-GGA.

The structure in POSCAR format:
```
PrDy2Tm
1.0
3.588 0.000 0.000
1.794 3.107 0.000
1.794 1.036 11.584
Pr Dy Tm
1 2 1
Direct
0.500 0.500 0.499 Pr
0.081 0.081 0.758 Dy
0.252 0.252 0.243 Dy
0.666 0.666 0.001 Tm
```

***

Run b
A geometry-optimized PrDy2Tm structure, computed with PBE-GGA.

The structure in POSCAR format:
```
PrDy2Tm
1.0
5.692 0.000 0.000
2.846 4.929 0.000
2.846 1.643 4.648
Pr Tm Dy
1 1 2
Direct
0.000 0.000 0.000 Pr
0.500 0.500 0.500 Tm
0.250 0.250 0.250 Dy
0.750 0.750 0.750 Dy
```

***

run a is the most stable structure; the next one sits 120 meV per atom above it.

***

Run a
A geometry-optimized PrDy4Tm5 structure, computed with PBE-GGA.

The structure in POSCAR format:
```
PrDy4Tm5
1.0
3.361 -0.547 -0.941
-1.278 6.515 -1.079
1.273 1.133 14.188
Pr Dy Tm
1 4 5
Direct
0.500 0.000 0.000 Pr
0.414 0.809 0.219 Dy
0.837 0.726 0.803 Dy
0.586 0.191 0.781 Dy
0.163 0.274 0.197 Dy
0.952 0.574 0.388 Tm
0.242 0.120 0.417 Tm
0.758 0.880 0.583 Tm
0.500 0.500 0.000 Tm
0.048 0.426 0.612 Tm
```

***

Run b
A geometry-optimized PrDy4Tm5 structure, computed with PBE-GGA.

The structure in POSCAR format:
```
PrDy4Tm5
1.0
6.252 0.000 0.000
3.126 7.185 0.000
3.126 0.000 7.185
Pr Dy Tm
1 4 5
Direct
0.223 0.000 0.000 Pr
0.402 0.402 0.701 Dy
0.804 0.701 0.598 Dy
0.103 0.299 0.402 Dy
0.505 0.598 0.299 Dy
0.804 0.378 0.910 Tm
0.182 0.910 0.622 Tm
0.714 0.090 0.378 Tm
0.092 0.622 0.090 Tm
0.681 0.000 0.000 Tm
```

***

run a is the most stable structure; the next one sits 244 meV per atom above it.

***

Run a
A geometry-optimized Pr5Dy2Tm2 structure, computed with PBE-GGA.

The structure in POSCAR format:
```
Pr5Dy2Tm2
1.0
7.636 -1.713 2.142
-6.221 6.496 -3.348
3.178 -1.444 8.926
Pr Dy Tm
5 2 2
Direct
0.335 0.666 0.332 Pr
0.665 0.334 0.668 Pr
0.114 0.223 0.446 Pr
0.886 0.777 0.554 Pr
0.000 0.000 0.000 Pr
0.444 0.892 0.784 Dy
0.556 0.108 0.216 Dy
0.216 0.446 0.892 Tm
0.784 0.554 0.108 Tm
```

***

Run b
A geometry-optimized Pr5Dy2Tm2 structure, computed with PBE-GGA.

The structure in POSCAR format:
```
Pr5Dy2Tm2
1.0
12.949 0.000 0.000
0.000 6.244 0.000
-6.474 -3.122 7.607
Pr Dy Tm
10 4 4
Direct
0.254 0.749 0.902 Pr
0.746 0.847 0.098 Pr
0.148 0.249 0.902 Pr
0.852 0.347 0.098 Pr
0.328 0.095 0.288 Pr
0.672 0.807 0.712 Pr
0.460 0.595 0.288 Pr
0.540 0.307 0.712 Pr
0.076 0.793 0.500 Pr
0.924 0.293 0.500 Pr
0.000 0.882 0.000 Dy
0.500 0.382 0.000 Dy
0.193 0.270 0.500 Dy
0.807 0.770 0.500 Dy
0.187 0.583 0.272 Tm
0.813 0.311 0.728 Tm
0.585 0.083 0.272 Tm
0.415 0.811 0.728 Tm
```

***

run a is the most stable structure; the next one sits 149 meV per atom above it.

***

Run a
A geometry-optimized Pr5Dy2Tm12 structure, computed with PBE-GGA.

The structure in POSCAR format:
```
Pr5Dy2Tm12
1.0
7.023 0.000 0.000
-3.511 8.718 2.745
0.000 0.673 10.317
Pr Dy Tm
5 2 12
Direct
0.188 0.375 0.819 Pr
0.318 0.636 0.211 Pr
0.000 0.000 0.500 Pr
0.682 0.364 0.789 Pr
0.812 0.625 0.181 Pr
0.727 0.000 0.000 Dy
0.273 0.000 0.000 Dy
0.975 0.951 0.246 Tm
0.090 0.685 0.867 Tm
0.595 0.685 0.867 Tm
0.090 0.675 0.520 Tm
0.585 0.675 0.520 Tm
0.498 0.996 0.675 Tm
0.502 0.004 0.325 Tm
0.910 0.325 0.480 Tm
0.415 0.325 0.480 Tm
0.910 0.315 0.133 Tm
0.405 0.315 0.133 Tm
0.025 0.049 0.754 Tm
```

***

Run b
A geometry-optimized Pr5Dy2Tm12 structure, computed with PBE-GGA.

The structure in POSCAR format:
```
Pr5Dy2Tm12
1.0
6.429 1.598 -1.206
-0.890 9.721 -6.574
-1.759 -3.490 11.925
Pr Dy Tm
5 2 12
Direct
0.267 0.495 0.604 Pr
0.172 0.664 0.170 Pr
0.000 0.000 0.500 Pr
0.828 0.336 0.830 Pr
0.733 0.505 0.396 Pr
0.613 0.853 0.818 Dy
0.387 0.147 0.182 Dy
0.935 0.124 0.250 Tm
0.108 0.772 0.962 Tm
0.653 0.753 0.030 Tm
0.210 0.594 0.395 Tm
0.688 0.615 0.201 Tm
0.564 0.948 0.604 Tm
0.436 0.052 0.396 Tm
0.790 0.406 0.605 Tm
0.312 0.385 0.799 Tm
0.892 0.228 0.038 Tm
0.347 0.247 0.970 Tm
0.065 0.876 0.750 Tm
```

***

run b is the most stable structure; the next one sits 113 meV per atom above it.

***

Run a
A geometry-optimized PrDy7Tm12 structure, computed with PBE-GGA.

The structure in POSCAR format:
```
PrDy7Tm12
1.0
9.103 0.000 -3.218
-4.551 7.883 -3.218
0.000 0.000 9.655
Pr Dy Tm
1 7 12
Direct
0.000 0.000 0.000 Pr
0.500 0.500 0.000 Dy
0.000 0.500 0.500 Dy
0.500 0.000 0.500 Dy
0.500 0.500 0.500 Dy
0.000 0.000 0.500 Dy
0.500 0.000 0.000 Dy
0.000 0.500 0.000 Dy
0.488 0.744 0.744 Tm
0.000 0.744 0.256 Tm
0.512 0.256 0.256 Tm
0.000 0.256 0.744 Tm
0.744 0.000 0.256 Tm
0.744 0.488 0.744 Tm
0.256 0.000 0.744 Tm
0.256 0.512 0.256 Tm
0.744 0.744 0.488 Tm
0.256 0.256 0.512 Tm
0.744 0.256 0.000 Tm
0.256 0.744 0.000 Tm
```

***

Run b
A geometry-optimized PrDy7Tm12 structure, computed with PBE-GGA.

The structure in POSCAR format:
```
PrDy7Tm12
1.0
-3.253 -7.888 -1.275
0.255 -1.843 8.424
-8.084 2.764 1.202
Pr Dy Tm
1 7 12
Direct
0.000 0.000 0.000 Pr
0.999 0.634 0.122 Dy
0.366 0.878 0.001 Dy
0.878 0.001 0.366 Dy
0.500 0.500 0.500 Dy
0.122 0.999 0.634 Dy
0.634 0.122 0.999 Dy
0.001 0.366 0.878 Dy
0.763 0.233 0.642 Tm
0.767 0.358 0.237 Tm
0.438 0.109 0.347 Tm
0.891 0.653 0.562 Tm
0.358 0.237 0.767 Tm
0.653 0.562 0.891 Tm
0.347 0.438 0.109 Tm
0.642 0.763 0.233 Tm
0.109 0.347 0.438 Tm
0.562 0.891 0.653 Tm
0.233 0.642 0.763 Tm
0.237 0.767 0.358 Tm
```

***

run b is the most stable structure; the next one sits 481 meV per atom above it.